[1]
The following is a DFT calculation (PBE) of an optimized crystal structure of SrBe3P. Values from VASP.

```
&SYSTEM
  ibrav = 0, nat = 5, ntyp = 3
/
ATOMIC_SPECIES
Sr 87.62 Sr.upf
Be 9.01 Be.upf
P 30.97 P.upf
CELL_PARAMETERS angstrom
-3.397 -2.808 -0.146
1.117 -1.138 -4.111
2.580 -3.204 1.588
ATOMIC_POSITIONS angstrom
Sr 0.150 -3.575 -1.334
Be 0.559 -0.569 -2.055
Be 1.290 -1.602 0.794
Be -1.698 -1.404 -0.073
P 0.000 0.000 0.000
```

Output
E	-15.4	eV for the cell shown

***

[2]
The following is a DFT calculation (PBE) of an optimized crystal structure of LaBrCl. Values from VASP.

```
&SYSTEM
  ibrav = 0, nat = 3, ntyp = 3
/
ATOMIC_SPECIES
Cl 35.45 Cl.upf
Br 79.90 Br.upf
La 138.91 La.upf
CELL_PARAMETERS angstrom
4.981 0.000 0.000
2.490 4.314 0.000
2.490 1.438 4.067
ATOMIC_POSITIONS angstrom
Cl 7.471 4.314 3.050
Br 4.981 2.876 2.033
La 0.000 0.000 0.000
```

Output
E	-12.8	eV for the cell shown

***

[3]
The following is a DFT calculation (PBE) of an optimized crystal structure of Sc2CrFe. Values from VASP.

```
&SYSTEM
  ibrav = 0, nat = 4, ntyp = 3
/
ATOMIC_SPECIES
Cr 52.00 Cr.upf
Fe 55.84 Fe.upf
Sc 44.96 Sc.upf
CELL_PARAMETERS angstrom
5.296 0.003 0.000
2.358 4.742 0.000
-3.827 -2.373 2.788
ATOMIC_POSITIONS angstrom
Cr 3.827 2.373 0.000
Fe 2.648 0.002 1.394
Sc 0.000 0.000 0.000
Sc 1.179 2.371 1.394
```

Output
E	-29.7	eV for the cell shown

***

no.,M_tot (μB per formula unit),V (A^3/atom)
1,0.00,17.145
2,1.00,29.127
3,4.83,17.493